(1)
Density functional theory data (PBE) for a geometry-optimized Sm2Hg2O5 structure.

Output
The volume comes out at 14.87 Å³ per atom. The energy above the most stable polymorph in this dataset comes out at 343.7 meV/atom. The value obtained for the electronic total energy is -46.34 eV for the cell shown. As for the magnetization: 0.0 μB/f.u.

Geometry as CIF:
```
data_Sm2Hg2O5
_symmetry_space_group_name_H-M 'P 1'
_symmetry_Int_Tables_number 1
_cell_length_a 4.305
_cell_length_b 4.305
_cell_length_c 7.221
_cell_angle_alpha 90.00
_cell_angle_beta 90.00
_cell_angle_gamma 90.00
loop_
_symmetry_equiv_pos_as_xyz
'x,y,z'
loop_
_atom_site_label
_atom_site_type_symbol
_atom_site_fract_x
_atom_site_fract_y
_atom_site_fract_z
Sm1 Sm 0.000 0.000 0.000
Sm2 Sm 0.000 0.000 0.500
Hg1 Hg 0.500 0.500 0.194
Hg2 Hg 0.500 0.500 0.806
O1 O 0.000 0.500 0.215
O2 O 0.000 0.500 0.785
O3 O 0.500 0.000 0.215
O4 O 0.500 0.000 0.785
O5 O 0.500 0.500 0.500
```

***

(2)
Density functional theory data (PBE) for a geometry-optimized SmTlHgO3 structure.

Output
The volume comes out at 18.65 Å³ per atom. The value obtained for the electronic total energy is -63.96 eV for the cell shown. As for the magnetization: 0.0 μB/f.u.

Geometry as CIF:
```
data_SmTlHgO3
_symmetry_space_group_name_H-M 'P 1'
_symmetry_Int_Tables_number 1
_cell_length_a 7.004
_cell_length_b 7.004
_cell_length_c 9.050
_cell_angle_alpha 90.00
_cell_angle_beta 90.00
_cell_angle_gamma 149.73
loop_
_symmetry_equiv_pos_as_xyz
'x,y,z'
loop_
_atom_site_label
_atom_site_type_symbol
_atom_site_fract_x
_atom_site_fract_y
_atom_site_fract_z
Sm1 Sm 0.000 0.000 0.000
Sm2 Sm 0.000 0.000 0.500
Tl1 Tl 0.330 0.670 0.750
Tl2 Tl 0.670 0.330 0.250
Hg1 Hg 0.357 0.643 0.250
Hg2 Hg 0.643 0.357 0.750
O1 O 0.048 0.952 0.250
O2 O 0.391 0.609 0.026
O3 O 0.391 0.609 0.474
O4 O 0.609 0.391 0.526
O5 O 0.609 0.391 0.974
O6 O 0.952 0.048 0.750
```

***

(3)
Density functional theory data (PBE) for a geometry-optimized SnHg2O4 structure.

Output
The volume comes out at 13.66 Å³ per atom. The energy above the most stable polymorph in this dataset comes out at 0.0 meV/atom. The value obtained for the electronic total energy is -59.92 eV for the cell shown.

Geometry as CIF:
```
data_SnHg2O4
_symmetry_space_group_name_H-M 'P 1'
_symmetry_Int_Tables_number 1
_cell_length_a 5.754
_cell_length_b 10.249
_cell_length_c 3.243
_cell_angle_alpha 90.00
_cell_angle_beta 90.00
_cell_angle_gamma 90.00
loop_
_symmetry_equiv_pos_as_xyz
'x,y,z'
loop_
_atom_site_label
_atom_site_type_symbol
_atom_site_fract_x
_atom_site_fract_y
_atom_site_fract_z
Sn1 Sn 0.000 0.000 0.000
Sn2 Sn 0.500 0.500 0.000
Hg1 Hg 0.057 0.327 0.500
Hg2 Hg 0.443 0.827 0.500
Hg3 Hg 0.557 0.173 0.500
Hg4 Hg 0.943 0.673 0.500
O1 O 0.132 0.811 0.000
O2 O 0.228 0.039 0.500
O3 O 0.272 0.539 0.500
O4 O 0.368 0.311 0.000
O5 O 0.632 0.689 0.000
O6 O 0.728 0.461 0.500
O7 O 0.772 0.961 0.500
O8 O 0.868 0.189 0.000
```

***

(4)
Density functional theory data (PBE) for a geometry-optimized Sn2Hg2O5 structure.

Output
The volume comes out at 14.64 Å³ per atom. The energy above the most stable polymorph in this dataset comes out at 0.0 meV/atom. The value obtained for the electronic total energy is -40.87 eV for the cell shown.

Geometry as CIF:
```
data_Sn2Hg2O5
_symmetry_space_group_name_H-M 'P 1'
_symmetry_Int_Tables_number 1
_cell_length_a 3.960
_cell_length_b 3.960
_cell_length_c 8.402
_cell_angle_alpha 90.00
_cell_angle_beta 90.00
_cell_angle_gamma 90.00
loop_
_symmetry_equiv_pos_as_xyz
'x,y,z'
loop_
_atom_site_label
_atom_site_type_symbol
_atom_site_fract_x
_atom_site_fract_y
_atom_site_fract_z
Sn1 Sn 0.000 0.000 0.239
Sn2 Sn 0.000 0.000 0.761
Hg1 Hg 0.500 0.500 0.000
Hg2 Hg 0.500 0.500 0.500
O1 O 0.000 0.000 0.000
O2 O 0.000 0.500 0.317
O3 O 0.000 0.500 0.683
O4 O 0.500 0.000 0.317
O5 O 0.500 0.000 0.683
```

***

(5)
Density functional theory data (PBE) for a geometry-optimized SnHg2O4 structure.

Output
The volume comes out at 14.38 Å³ per atom. The energy above the most stable polymorph in this dataset comes out at 79.8 meV/atom. The value obtained for the electronic total energy is -58.80 eV for the cell shown.

Geometry as CIF:
```
data_SnHg2O4
_symmetry_space_group_name_H-M 'P 1'
_symmetry_Int_Tables_number 1
_cell_length_a 6.560
_cell_length_b 6.560
_cell_length_c 5.469
_cell_angle_alpha 106.11
_cell_angle_beta 106.11
_cell_angle_gamma 105.63
loop_
_symmetry_equiv_pos_as_xyz
'x,y,z'
loop_
_atom_site_label
_atom_site_type_symbol
_atom_site_fract_x
_atom_site_fract_y
_atom_site_fract_z
Sn1 Sn 0.097 0.903 0.750
Sn2 Sn 0.903 0.097 0.250
Hg1 Hg 0.215 0.492 0.941
Hg2 Hg 0.492 0.215 0.441
Hg3 Hg 0.508 0.785 0.559
Hg4 Hg 0.785 0.508 0.059
O1 O 0.154 0.667 0.466
O2 O 0.158 0.206 0.077
O3 O 0.206 0.158 0.577
O4 O 0.333 0.846 0.034
O5 O 0.667 0.154 0.966
O6 O 0.794 0.842 0.423
O7 O 0.842 0.794 0.923
O8 O 0.846 0.333 0.534
```

***

(6)
Density functional theory data (PBE) for a geometry-optimized SnHg2O3 structure.

Output
The volume comes out at 17.39 Å³ per atom. The value obtained for the electronic total energy is -47.33 eV for the cell shown.

Geometry as CIF:
```
data_SnHg2O3
_symmetry_space_group_name_H-M 'P 1'
_symmetry_Int_Tables_number 1
_cell_length_a 11.153
_cell_length_b 5.949
_cell_length_c 3.145
_cell_angle_alpha 90.00
_cell_angle_beta 90.00
_cell_angle_gamma 90.00
loop_
_symmetry_equiv_pos_as_xyz
'x,y,z'
loop_
_atom_site_label
_atom_site_type_symbol
_atom_site_fract_x
_atom_site_fract_y
_atom_site_fract_z
Sn1 Sn 0.250 0.058 0.000
Sn2 Sn 0.750 0.942 0.000
Hg1 Hg 0.079 0.665 0.499
Hg2 Hg 0.421 0.665 0.499
Hg3 Hg 0.579 0.335 0.499
Hg4 Hg 0.921 0.335 0.499
O1 O 0.129 0.091 0.500
O2 O 0.250 0.716 0.996
O3 O 0.371 0.091 0.500
O4 O 0.629 0.909 0.500
O5 O 0.750 0.284 0.996
O6 O 0.871 0.909 0.500
```

***

Among the records above, which one has the lowest electronic total energy?
SmTlHgO3